LiZrFeBi | PBE | relaxed

The calculation puts the energy above the most stable polymorph in this dataset at 227 meV/atom. As for the raw total energy: -0.2071 Ha/atom.

CIF file:
```
data_LiZrFeBi
_space_group_name_H-M_alt 'F -4 3 m'
_space_group_IT_number 216
_space_group_name_Hall 'F -4 2 3'
_cell_length_a 6.755
_cell_length_b 6.755
_cell_length_c 6.755
_cell_angle_alpha 90.00
_cell_angle_beta 90.00
_cell_angle_gamma 90.00
loop_
_atom_site_label
_atom_site_type_symbol
_atom_site_fract_x
_atom_site_fract_y
_atom_site_fract_z
Li1 Li 0.000 0.000 0.000
Zr1 Zr 0.000 0.000 0.500
Fe1 Fe 0.250 0.250 0.250
Bi1 Bi 0.250 0.250 0.750
```